# LiCaCeO4

A relaxed LiCaCeO4 crystal (PBE, Alexandria). Values from VASP.

Calculated values
The total energy comes out at -94.9 eV/cell. The raw formation energy comes out at -2.535 eV/atom.

The structure in Quantum ESPRESSO input format:
```
&SYSTEM
  ibrav = 0, nat = 14, ntyp = 4
/
ATOMIC_SPECIES
Ca 40.08 Ca.upf
O 16.00 O.upf
Li 6.94 Li.upf
Ce 140.12 Ce.upf
ATOMIC_POSITIONS crystal
Ca 0.392 0.250 0.784
Ca 0.608 0.750 0.216
O 0.000 0.500 0.500
O 0.424 0.750 0.848
O 0.576 0.250 0.152
O 0.500 0.500 0.500
O 0.000 0.000 0.500
O 0.500 0.000 0.500
O 0.059 0.750 0.119
O 0.941 0.250 0.881
Li 0.767 0.250 0.535
Li 0.233 0.750 0.465
Ce 0.885 0.750 0.770
Ce 0.115 0.250 0.230
CELL_PARAMETERS angstrom
-1.936 4.157 0.487
-3.191 -0.951 -4.571
-3.488 -4.579 3.387
```